Entry 1:
# Sc5Co4Pt

An optimized crystal structure of Sc5Co4Pt (PBE-GGA, the Alexandria database).

Lattice parameters (Å, degrees): 3.1715 3.1715 15.7478 90.00 90.00 90.00
Last column: nearest neighbours and their distance in Å.
Space group P4/mmm (No. 123)
Inequivalent atoms, fractional coordinates:
Sc (0.0000, 0.0000, 0.0000) [1 per cell]  8 Co 2.73
Sc (0.0000, 0.0000, 0.1958) [2 per cell]  8 Co 2.72-2.75
Sc (0.0000, 0.0000, 0.3920) [2 per cell]  4 Co 2.70, 4 Pt 2.81
Co (0.5000, 0.5000, 0.0986) [2 per cell]  8 Sc 2.72-2.73
Co (0.5000, 0.5000, 0.2966) [2 per cell]  8 Sc 2.70-2.75
Pt (0.5000, 0.5000, 0.5000) [1 per cell]  8 Sc 2.81

## Properties
**Magnetization**: 1.40 μB/f.u.
**E_tot**: -7.1527 eV/atom

Entry 2:
# Sc4Co3Pt

An optimized crystal structure of Sc4Co3Pt (PBE-GGA, the Alexandria database).

Lattice parameters (Å, degrees): 3.1997 4.4884 8.9186 90.00 90.00 90.00
Last column: nearest neighbours and their distance in Å.
Space group Pmmm (No. 47)
Inequivalent atoms, fractional coordinates:
Sc (0.0000, 0.0000, 0.0000) [1 per cell]  8 Co 2.74-2.76
Sc (0.0000, 0.0000, 0.5000) [1 per cell]  4 Co 2.75, 4 Pt 2.76
Sc (0.0000, 0.5000, 0.2395) [2 per cell]  6 Co 2.67-2.76, 2 Pt 2.82
Co (0.5000, 0.0000, 0.2497) [2 per cell]  8 Sc 2.74-2.76
Co (0.5000, 0.5000, 0.0000) [1 per cell]  8 Sc 2.67-2.76
Pt (0.5000, 0.5000, 0.5000) [1 per cell]  8 Sc 2.76-2.82

## Properties
**Magnetization**: 1.17 μB/f.u.
**E_tot**: -7.1716 eV/atom

Which of these has the highest magnetization?
Sc5Co4Pt

Repeat the first record exactly.
# Sc5Co4Pt

An optimized crystal structure of Sc5Co4Pt (PBE-GGA, the Alexandria database).

Lattice parameters (Å, degrees): 3.1715 3.1715 15.7478 90.00 90.00 90.00
Last column: nearest neighbours and their distance in Å.
Space group P4/mmm (No. 123)
Inequivalent atoms, fractional coordinates:
Sc (0.0000, 0.0000, 0.0000) [1 per cell]  8 Co 2.73
Sc (0.0000, 0.0000, 0.1958) [2 per cell]  8 Co 2.72-2.75
Sc (0.0000, 0.0000, 0.3920) [2 per cell]  4 Co 2.70, 4 Pt 2.81
Co (0.5000, 0.5000, 0.0986) [2 per cell]  8 Sc 2.72-2.73
Co (0.5000, 0.5000, 0.2966) [2 per cell]  8 Sc 2.70-2.75
Pt (0.5000, 0.5000, 0.5000) [1 per cell]  8 Sc 2.81

## Properties
**Magnetization**: 1.40 μB/f.u.
**E_tot**: -7.1527 eV/atom